Record 1
The following is a PBE calculation of crystalline HfSbTe2 at its relaxed geometry, from Alexandria via LeMat-Bulk.

```
data_HfSbTe2
_chemical_formula_sum 'Hf3 Sb3 Te6'
_cell_length_a 3.9123
_cell_length_b 3.9123
_cell_length_c 28.8920
_cell_angle_alpha 90.00
_cell_angle_beta 90.00
_cell_angle_gamma 120.00
_space_group_name_H-M_alt 'R -3 m'
_space_group_IT_number 166
_space_group_name_Hall '-R 3 2"'
loop_
_atom_site_label
_atom_site_type_symbol
_atom_site_fract_x
_atom_site_fract_y
_atom_site_fract_z
_atom_site_occupancy
Hf1 Hf 0.0000 0.0000 0.0000 1
Sb1 Sb 0.0000 0.0000 0.5000 1
Te1 Te 0.0000 0.0000 0.0955 1
```

E_form (uncorrected), eV per atom: 0.381
Total DFT energy (no corrections), eV/atom: -4.71

=====

Record 2
The following is a PBE calculation of crystalline Ba2Re at its relaxed geometry, from Alexandria via LeMat-Bulk.

```
data_Ba2Re
_chemical_formula_sum 'Ba8 Re4'
_cell_length_a 14.104
_cell_length_b 3.962
_cell_length_c 9.978
_cell_angle_alpha 90.00
_cell_angle_beta 117.53
_cell_angle_gamma 90.00
_space_group_name_H-M_alt 'C 1 m 1'
_space_group_IT_number 8
_space_group_name_Hall 'C -2y'
loop_
_atom_site_label
_atom_site_type_symbol
_atom_site_fract_x
_atom_site_fract_y
_atom_site_fract_z
_atom_site_occupancy
Ba1 Ba 0.000 0.000 0.000 1
Ba2 Ba 0.013 0.000 0.633 1
Ba3 Ba 0.190 0.500 0.476 1
Ba4 Ba 0.323 0.000 0.157 1
Re1 Re 0.225 0.500 0.853 1
Re2 Re 0.287 0.000 0.781 1
```

Total DFT energy (no corrections), eV/atom: -4.95

=====

no.,size of the total moment (μB/f.u.)
1,0.00
2,0.00